Record 1
Density functional theory data (PBE-GGA) for a geometry-optimized HoThB structure.

Structure (POSCAR):
```
HoThB
1.0
0.000 3.234 3.234
3.234 0.000 3.234
3.234 3.234 0.000
B Ho Th
1 1 1
Cartesian
0.000 0.000 0.000 B
1.617 1.617 1.617 Ho
4.851 4.851 4.851 Th
```



Record 2
Density functional theory data (PBE-GGA) for a geometry-optimized HoThB4 structure.

Structure (POSCAR):
```
HoThB4
1.0
-1.656 2.865 4.045
1.656 -2.865 4.045
1.656 2.865 -4.045
B Ho Th
4 1 1
Cartesian
1.656 0.955 2.009 B
0.000 1.910 2.035 B
1.656 -0.955 2.009 B
0.000 3.820 2.035 B
0.000 0.000 0.000 Ho
0.000 0.000 4.045 Th
```



Record 3
Density functional theory data (PBE-GGA) for a geometry-optimized HoThB4 structure.

Structure (POSCAR):
```
HoThB4
1.0
-0.076 0.219 3.286
2.107 -2.066 -1.465
5.566 5.862 -0.261
B Th Ho
4 1 1
Cartesian
4.905 3.936 1.503 B
2.692 0.079 0.057 B
1.965 0.840 1.641 B
5.632 3.175 -0.081 B
2.783 2.931 -0.131 Th
0.000 0.000 0.000 Ho
```



Number 1: raw total energy -18.33 eV for the cell shown. Number 2: raw total energy -41.60 eV for the cell shown. Number 3: raw total energy -41.86 eV for the cell shown.